No. 1
A plane-wave DFT calculation with PBE was carried out for a relaxed structure of Sn2SF.

```
Sn2SF
1.0
6.012 -0.130 0.000
-2.356 5.582 0.000
-1.828 -2.726 10.816
Sn F S
8 4 4
direct
0.792 0.071 0.621 Sn
0.042 0.320 0.123 Sn
0.330 0.550 0.621 Sn
0.670 0.450 0.379 Sn
0.958 0.680 0.877 Sn
0.419 0.197 0.877 Sn
0.208 0.929 0.379 Sn
0.581 0.803 0.123 Sn
0.850 0.600 0.199 F
0.604 0.354 0.707 F
0.396 0.646 0.293 F
0.150 0.400 0.801 F
0.086 0.836 0.672 S
0.662 0.912 0.825 S
0.338 0.088 0.175 S
0.914 0.164 0.328 S
```

Summary:
As for the space-group type: C2/c, No. 15. Its uncorrected formation energy is -3.45 eV per formula unit. For the distance to the lowest polymorph of the same formula, the calculation gives 0.0 meV/atom.

=====

No. 2
A plane-wave DFT calculation with PBE was carried out for a relaxed structure of SnS6F.

```
SnS6F
1.0
-1.265 -1.090 -4.483
5.288 -3.581 0.362
-2.826 -5.616 1.179
F S Sn
1 6 1
direct
0.000 0.000 0.000 F
0.676 0.440 0.969 S
0.676 0.031 0.560 S
0.690 0.487 0.513 S
0.310 0.513 0.487 S
0.324 0.969 0.440 S
0.324 0.560 0.031 S
0.500 0.000 0.000 Sn
```

Summary:
As for the space-group type: C2/m, No. 12. Its uncorrected formation energy is -2.04 eV per formula unit.

=====

No. 3
A plane-wave DFT calculation with PBE was carried out for a relaxed structure of Sr2SnS3F2.

```
Sr2SnS3F2
1.0
-1.659 3.755 4.393
1.112 -4.292 4.088
18.001 6.139 1.550
Sr F S Sn
8 8 12 4
direct
0.753 0.502 0.574 Sr
0.747 0.002 0.426 Sr
0.247 0.498 0.426 Sr
0.747 0.002 0.074 Sr
0.253 0.998 0.926 Sr
0.247 0.498 0.074 Sr
0.253 0.998 0.574 Sr
0.753 0.502 0.926 Sr
0.501 0.748 0.000 F
0.499 0.252 0.000 F
0.999 0.248 0.500 F
0.501 0.748 0.500 F
0.999 0.248 0.000 F
0.499 0.252 0.500 F
0.001 0.752 0.000 F
0.001 0.752 0.500 F
0.749 0.523 0.750 S
0.743 0.514 0.133 S
0.757 0.014 0.633 S
0.251 0.477 0.250 S
0.757 0.014 0.867 S
0.743 0.514 0.367 S
0.243 0.986 0.133 S
0.249 0.977 0.750 S
0.257 0.486 0.633 S
0.257 0.486 0.867 S
0.243 0.986 0.367 S
0.751 0.023 0.250 S
0.343 0.074 0.250 Sn
0.657 0.926 0.750 Sn
0.157 0.574 0.750 Sn
0.843 0.426 0.250 Sn
```

Summary:
As for the space-group type: Pnma, No. 62. Its uncorrected formation energy is -17.44 eV per formula unit.

=====

No. 4
A plane-wave DFT calculation with PBE was carried out for a relaxed structure of SrSnS2F.

```
SrSnS2F
1.0
-2.787 -1.023 2.637
-2.451 -0.973 -2.968
4.929 -12.963 0.178
Sr F Sn S
2 2 2 4
direct
0.000 0.500 0.392 Sr
0.500 0.000 0.608 Sr
0.500 0.500 0.500 F
0.000 0.000 0.500 F
0.000 0.500 0.878 Sn
0.500 0.000 0.122 Sn
0.500 0.000 0.900 S
0.500 0.000 0.298 S
0.000 0.500 0.100 S
0.000 0.500 0.702 S
```

Summary:
As for the space-group type: P4/nmm, No. 129. Its uncorrected formation energy is -8.84 eV per formula unit.

=====

No. 5
A plane-wave DFT calculation with PBE was carried out for a relaxed structure of SnTeSF2.

```
SnTeSF2
1.0
-0.358 -3.334 2.461
-0.233 -3.520 -4.803
4.141 -0.385 0.081
Te F S Sn
1 2 1 1
direct
0.500 0.500 0.500 Te
0.500 0.000 0.000 F
0.000 0.000 0.500 F
0.000 0.000 0.000 S
0.000 0.500 0.000 Sn
```

Summary:
As for the space-group type: P4/mmm, No. 123. Its uncorrected formation energy is -2.52 eV per formula unit.

=====

No. 6
A plane-wave DFT calculation with PBE was carried out for a relaxed structure of TlSnS2F.

```
TlSnS2F
1.0
-1.607 -4.823 0.307
2.829 -0.677 4.180
-3.372 1.282 2.490
S Sn Tl F
2 1 1 1
direct
0.500 0.000 0.000 S
0.000 0.500 0.000 S
0.000 0.000 0.000 Sn
0.500 0.500 0.500 Tl
0.000 0.000 0.500 F
```

Summary:
As for the space-group type: P4/mmm, No. 123. Its uncorrected formation energy is -3.88 eV per formula unit.